Entry 1:
CaY2Os | PBEsol | optimized geometry

Results
Energy relative to the lowest polymorph listed for this composition = 0.0 meV per atom
D(E_F) = 2.67 states/eV/cell
Spin magnetization = 0.00 μB/cell
Energy relative to the elements = -0.1168 eV per atom
VASP energy = -7.115 eV/atom

Cell: 3.392 3.392 9.510 Å, 90.00 90.00 90.00°
Element x y z (fractional)
Ca  0.000  0.000  0.000
Y  0.500  0.500  0.329
Y  0.500  0.500  0.671
Os  0.000  0.000  0.500

---

Entry 2:
CaZnOs2 | PBEsol | optimized geometry

Results
D(E_F) = 3.69 states/eV/cell
Spin magnetization = 0.00 μB/cell
Energy relative to the elements = 0.5184 eV per atom
VASP energy = -6.518 eV/atom

Cell: 2.906 4.625 4.678 Å, 90.00 90.00 90.00°
Element x y z (fractional)
Ca  0.000  0.000  0.000
Zn  0.500  0.000  0.500
Os  0.000  0.500  0.500
Os  0.500  0.500  0.000

---

Entry 3:
CaZn3Os | PBEsol | optimized geometry

Results
D(E_F) = 2.79 states/eV/cell
Spin magnetization = 2.45 μB/cell
Energy relative to the elements = 2.1040 eV per atom
VASP energy = -1.715 eV/atom

Cell: 4.921 4.921 4.921 Å, 90.00 90.00 90.00°
Element x y z (fractional)
Ca  0.000  0.000  0.000
Zn  0.000  0.000  0.500
Zn  0.000  0.500  0.000
Zn  0.500  0.000  0.000
Os  0.500  0.500  0.500

---

Entry 4:
CaZnOs2 | PBEsol | optimized geometry

Results
D(E_F) = 4.67 states/eV/cell
Spin magnetization = 0.00 μB/cell
Energy relative to the elements = 0.6056 eV per atom
VASP energy = -6.431 eV/atom

Cell: 2.711 2.711 8.606 Å, 90.00 90.00 90.00°
Element x y z (fractional)
Ca  0.000  0.000  0.000
Zn  0.000  0.000  0.500
Os  0.500  0.500  0.279
Os  0.500  0.500  0.721

---

Entry 5:
Ca2ZrOs | PBEsol | optimized geometry

Results
Energy relative to the lowest polymorph listed for this composition = 414.4 meV per atom
D(E_F) = 6.71 states/eV/cell
Spin magnetization = 0.00 μB/cell
Energy relative to the elements = 0.6004 eV per atom
VASP energy = -5.793 eV/atom

Cell: 3.316 5.028 10.579 Å, 90.00 90.00 90.00°
Element x y z (fractional)
Ca  0.000  0.000  0.210
Ca  0.000  0.000  0.790
Ca  0.500  0.500  0.210
Ca  0.500  0.500  0.790
Zr  0.000  0.500  0.500
Zr  0.500  0.000  0.500
Os  0.000  0.500  0.000
Os  0.500  0.000  0.000

---

Entry 6:
Ca2ZrOs | PBEsol | optimized geometry

Results
Energy relative to the lowest polymorph listed for this composition = 0.0 meV per atom
D(E_F) = 6.72 states/eV/cell
Spin magnetization = 0.00 μB/cell
Energy relative to the elements = 0.1861 eV per atom
VASP energy = -6.207 eV/atom

Cell: 4.516 4.516 17.489 Å, 90.00 90.00 120.00°
Element x y z (fractional)
Ca  0.000  0.000  0.000
Ca  0.000  0.000  0.215
Ca  0.333  0.667  0.667
Ca  0.333  0.667  0.881
Ca  0.667  0.333  0.333
Ca  0.667  0.333  0.548
Zr  0.000  0.000  0.771
Zr  0.333  0.667  0.437
Zr  0.667  0.333  0.104
Os  0.000  0.000  0.440
Os  0.333  0.667  0.107
Os  0.667  0.333  0.774

---

Entry 7:
Ca2ZrOs | PBEsol | optimized geometry

Results
Energy relative to the lowest polymorph listed for this composition = 377.9 meV per atom
D(E_F) = 7.00 states/eV/cell
Spin magnetization = 0.00 μB/cell
Energy relative to the elements = 0.5640 eV per atom
VASP energy = -5.829 eV/atom

Cell: 5.701 10.316 2.920 Å, 90.00 100.41 90.00°
Element x y z (fractional)
Ca  0.250  0.250  0.000
Ca  0.250  0.750  0.000
Ca  0.750  0.250  0.000
Ca  0.750  0.750  0.000
Zr  0.000  0.000  0.500
Zr  0.500  0.500  0.500
Os  0.000  0.500  0.500
Os  0.500  0.000  0.500

---

Entry 8:
CaZrOs3 | PBEsol | optimized geometry

Results
D(E_F) = 9.37 states/eV/cell
Spin magnetization = 0.96 μB/cell
Energy relative to the elements = 1.8025 eV per atom
VASP energy = -7.772 eV/atom

Cell: 4.813 4.813 4.813 Å, 90.00 90.00 90.00°
Element x y z (fractional)
Ca  0.000  0.000  0.000
Zr  0.500  0.500  0.500
Os  0.000  0.500  0.500
Os  0.500  0.000  0.500
Os  0.500  0.500  0.000

---

Entry 9:
CaZrOs | PBEsol | optimized geometry

Results
D(E_F) = 2.38 states/eV/cell
Spin magnetization = 0.00 μB/cell
Energy relative to the elements = -0.0257 eV per atom
VASP energy = -7.839 eV/atom

Cell: 3.278 3.278 12.616 Å, 90.00 90.00 90.00°
Element x y z (fractional)
Ca  0.000  0.000  0.000
Ca  0.500  0.500  0.500
Zr  0.000  0.000  0.262
Zr  0.500  0.500  0.762
Os  0.000  0.000  0.657
Os  0.500  0.500  0.157

---

Entry 10:
CaZr2Os | PBEsol | optimized geometry

Results
D(E_F) = 11.23 states/eV/cell
Spin magnetization = 0.00 μB/cell
Energy relative to the elements = 0.2016 eV per atom
VASP energy = -7.931 eV/atom

Cell: 3.409 3.409 28.541 Å, 90.00 90.00 120.00°
Element x y z (fractional)
Ca  0.000  0.000  0.000
Ca  0.333  0.667  0.667
Ca  0.667  0.333  0.333
Zr  0.000  0.000  0.229
Zr  0.000  0.000  0.771
Zr  0.333  0.667  0.438
Zr  0.333  0.667  0.895
Zr  0.667  0.333  0.105
Zr  0.667  0.333  0.562
Os  0.000  0.000  0.500
Os  0.333  0.667  0.167
Os  0.667  0.333  0.833

---

Entry 11:
Ca2ZrOs | PBEsol | optimized geometry

Results
Energy relative to the lowest polymorph listed for this composition = 443.5 meV per atom
D(E_F) = 6.58 states/eV/cell
Spin magnetization = 0.52 μB/cell
Energy relative to the elements = 0.6296 eV per atom
VASP energy = -5.763 eV/atom

Cell: 3.014 3.014 10.030 Å, 90.00 90.00 90.00°
Element x y z (fractional)
Ca  0.000  0.000  0.205
Ca  0.000  0.000  0.795
Zr  0.500  0.500  0.500
Os  0.500  0.500  0.000

---

Entry 12:
Ca3P | PBEsol | optimized geometry

Results
Energy relative to the lowest polymorph listed for this composition = 51.3 meV per atom
D(E_F) = 6.25 states/eV/cell
Spin magnetization = 1.02 μB/cell
Energy relative to the elements = -0.5810 eV per atom
VASP energy = -3.629 eV/atom

Cell: 3.900 6.731 9.489 Å, 90.00 90.00 90.00°
Element x y z (fractional)
Ca  0.250  0.012  0.174
Ca  0.250  0.250  0.538
Ca  0.250  0.488  0.174
Ca  0.750  0.512  0.826
Ca  0.750  0.750  0.462
Ca  0.750  0.988  0.826
P  0.250  0.750  0.675
P  0.750  0.250  0.325

---

Entry 13:
Ca3P2 | PBEsol | optimized geometry

Results
Spin magnetization = 0.00 μB/cell
Energy relative to the elements = -0.9330 eV per atom
VASP energy = -4.529 eV/atom

Cell: 4.387 4.387 25.571 Å, 90.00 90.00 120.00°
Element x y z (fractional)
Ca  0.000  0.000  0.000
Ca  0.000  0.000  0.229
Ca  0.000  0.000  0.771
Ca  0.333  0.667  0.438
Ca  0.333  0.667  0.667
Ca  0.333  0.667  0.895
Ca  0.667  0.333  0.105
Ca  0.667  0.333  0.333
Ca  0.667  0.333  0.562
P  0.000  0.000  0.399
P  0.000  0.000  0.601
P  0.333  0.667  0.065
P  0.333  0.667  0.268
P  0.667  0.333  0.732
P  0.667  0.333  0.935

---

Entry 14:
Ca3P | PBEsol | optimized geometry

Results
Energy relative to the lowest polymorph listed for this composition = 0.0 meV per atom
D(E_F) = 12.93 states/eV/cell
Spin magnetization = 2.32 μB/cell
Energy relative to the elements = -0.6323 eV per atom
VASP energy = -3.680 eV/atom

Cell: 7.448 9.662 6.598 Å, 90.00 90.00 90.00°
Element x y z (fractional)
Ca  0.046  0.250  0.155
Ca  0.174  0.069  0.674
Ca  0.174  0.431  0.674
Ca  0.326  0.569  0.174
Ca  0.326  0.931  0.174
Ca  0.454  0.750  0.655
Ca  0.546  0.250  0.345
Ca  0.674  0.069  0.826
Ca  0.674  0.431  0.826
Ca  0.826  0.569  0.326
Ca  0.826  0.931  0.326
Ca  0.954  0.750  0.845
P  0.119  0.750  0.442
P  0.381  0.250  0.942
P  0.619  0.750  0.058
P  0.881  0.250  0.558

---

Entry 15:
Ca3P | PBEsol | optimized geometry

Results
Energy relative to the lowest polymorph listed for this composition = 227.2 meV per atom
D(E_F) = 2.92 states/eV/cell
Spin magnetization = 0.00 μB/cell
Energy relative to the elements = -0.4051 eV per atom
VASP energy = -3.453 eV/atom

Cell: 5.532 5.532 5.532 Å, 90.00 90.00 90.00°
Element x y z (fractional)
Ca  0.000  0.000  0.500
Ca  0.000  0.500  0.000
Ca  0.500  0.000  0.000
P  0.000  0.000  0.000

---

Entry 16:
CaP5 | PBEsol | optimized geometry

Results
D(E_F) = 2.73 states/eV/cell
Spin magnetization = 0.00 μB/cell
Energy relative to the elements = -0.0985 eV per atom
VASP energy = -5.280 eV/atom

Cell: 6.001 6.001 3.256 Å, 90.00 90.00 120.00°
Element x y z (fractional)
Ca  0.000  0.000  0.000
P  0.000  0.409  0.500
P  0.333  0.667  0.000
P  0.409  0.000  0.500
P  0.591  0.591  0.500
P  0.667  0.333  0.000

---

Entry 17:
CaP3 | PBEsol | optimized geometry

Results
D(E_F) = 1.46 states/eV/cell
Spin magnetization = 0.00 μB/cell
Energy relative to the elements = -0.1504 eV per atom
VASP energy = -5.027 eV/atom

Cell: 4.032 4.032 4.141 Å, 90.00 90.00 90.00°
Element x y z (fractional)
Ca  0.000  0.000  0.000
P  0.000  0.500  0.500
P  0.500  0.000  0.500
P  0.500  0.500  0.000

---

Entry 18:
Ca3P | PBEsol | optimized geometry

Results
Energy relative to the lowest polymorph listed for this composition = 31.2 meV per atom
D(E_F) = 9.14 states/eV/cell
Spin magnetization = 0.00 μB/cell
Energy relative to the elements = -0.6011 eV per atom
VASP energy = -3.649 eV/atom

Cell: 4.097 4.097 29.796 Å, 90.00 90.00 120.00°
Element x y z (fractional)
Ca  0.000  0.000  0.000
Ca  0.000  0.000  0.216
Ca  0.000  0.000  0.784
Ca  0.333  0.667  0.451
Ca  0.333  0.667  0.667
Ca  0.333  0.667  0.883
Ca  0.667  0.333  0.117
Ca  0.667  0.333  0.333
Ca  0.667  0.333  0.549
P  0.000  0.000  0.500
P  0.333  0.667  0.167
P  0.667  0.333  0.833

---

Entry 19:
CaP3 | PBEsol | optimized geometry

Results
D(E_F) = 1.51 states/eV/cell
Spin magnetization = 0.00 μB/cell
Energy relative to the elements = -0.0597 eV per atom
VASP energy = -4.937 eV/atom

Cell: 3.389 3.389 7.298 Å, 90.00 90.00 120.00°
Element x y z (fractional)
Ca  0.000  0.000  0.000
P  0.000  0.000  0.500
P  0.333  0.667  0.289
P  0.333  0.667  0.711

---

Entry 20:
Ca5P3 | PBEsol | optimized geometry

Results
D(E_F) = 5.21 states/eV/cell
Spin magnetization = 0.00 μB/cell
Energy relative to the elements = -0.9240 eV per atom
VASP energy = -4.429 eV/atom

Cell: 7.588 11.587 4.437 Å, 90.00 90.00 90.00°
Element x y z (fractional)
Ca  0.000  0.000  0.000
Ca  0.212  0.500  0.500
Ca  0.250  0.250  0.000
Ca  0.250  0.750  0.000
Ca  0.288  0.000  0.500
Ca  0.500  0.500  0.000
Ca  0.712  0.000  0.500
Ca  0.750  0.250  0.000
Ca  0.750  0.750  0.000
Ca  0.788  0.500  0.500
P  0.000  0.169  0.500
P  0.000  0.500  0.000
P  0.000  0.831  0.500
P  0.500  0.000  0.000
P  0.500  0.331  0.500
P  0.500  0.669  0.500

---

Entry 21:
Ca2P | PBEsol | optimized geometry

Results
D(E_F) = 1.64 states/eV/cell
Spin magnetization = 0.00 μB/cell
Energy relative to the elements = -0.8436 eV per atom
VASP energy = -4.196 eV/atom

Cell: 4.151 4.151 6.831 Å, 90.00 90.00 120.00°
Element x y z (fractional)
Ca  0.333  0.667  0.213
Ca  0.667  0.333  0.787
P  0.000  0.000  0.000

---

Entry 22:
Ca2P | PBEsol | optimized geometry

Results
D(E_F) = 3.71 states/eV/cell
Spin magnetization = 0.00 μB/cell
Energy relative to the elements = -0.8516 eV per atom
VASP energy = -4.204 eV/atom

Cell: 7.203 4.158 7.119 Å, 90.00 109.59 90.00°
Element x y z (fractional)
Ca  0.238  0.000  0.216
Ca  0.262  0.500  0.784
Ca  0.738  0.500  0.216
Ca  0.762  0.000  0.784
P  0.000  0.500  0.000
P  0.500  0.000  0.000

---

Entry 23:
Ca5P8 | PBEsol | optimized geometry

Results
Spin magnetization = 0.00 μB/cell
Energy relative to the elements = -0.9188 eV per atom
VASP energy = -5.303 eV/atom

Cell: 6.810 6.810 7.403 Å, 98.97 98.97 119.73°
Element x y z (fractional)
Ca  0.000  0.000  0.000
Ca  0.165  0.835  0.500
Ca  0.325  0.675  0.000
Ca  0.675  0.325  0.000
Ca  0.835  0.165  0.500
P  0.113  0.421  0.260
P  0.275  0.275  0.743
P  0.421  0.113  0.260
P  0.447  0.447  0.336
P  0.553  0.553  0.664
P  0.579  0.887  0.740
P  0.725  0.725  0.257
P  0.887  0.579  0.740

---

Entry 24:
CaP3 | PBEsol | optimized geometry

Results
D(E_F) = 5.08 states/eV/cell
Spin magnetization = 0.00 μB/cell
Energy relative to the elements = -0.2839 eV per atom
VASP energy = -5.161 eV/atom

Cell: 4.193 8.905 4.184 Å, 90.00 90.00 90.00°
Element x y z (fractional)
Ca  0.000  0.000  0.000
Ca  0.500  0.500  0.500
P  0.000  0.295  0.273
P  0.000  0.500  0.994
P  0.000  0.705  0.273
P  0.500  0.000  0.494
P  0.500  0.205  0.773
P  0.500  0.795  0.773

---

Entry 25:
CaP3 | PBEsol | optimized geometry

Results
D(E_F) = 0.49 states/eV/cell
Spin magnetization = 0.00 μB/cell
Energy relative to the elements = -0.6548 eV per atom
VASP energy = -5.532 eV/atom

Cell: 5.447 5.579 5.587 Å, 79.11 72.44 72.82°
Element x y z (fractional)
Ca  0.149  0.164  0.161
Ca  0.851  0.836  0.839
P  0.293  0.500  0.501
P  0.307  0.099  0.620
P  0.309  0.623  0.100
P  0.691  0.377  0.900
P  0.693  0.901  0.380
P  0.707  0.500  0.499

---

Entry 26:
Ca2P | PBEsol | optimized geometry

Results
D(E_F) = 2.54 states/eV/cell
Spin magnetization = 1.44 μB/cell
Energy relative to the elements = -0.8581 eV per atom
VASP energy = -4.211 eV/atom

Cell: 6.648 6.684 4.191 Å, 90.00 90.00 90.00°
Element x y z (fractional)
Ca  0.213  0.188  0.000
Ca  0.287  0.688  0.500
Ca  0.713  0.312  0.500
Ca  0.787  0.812  0.000
P  0.000  0.000  0.500
P  0.500  0.500  0.000

---

Entry 27:
Ca2P | PBEsol | optimized geometry

Results
D(E_F) = 2.91 states/eV/cell
Spin magnetization = 3.24 μB/cell
Energy relative to the elements = -0.8622 eV per atom
VASP energy = -4.215 eV/atom

Cell: 4.014 12.213 6.440 Å, 90.00 90.00 90.00°
Element x y z (fractional)
Ca  0.000  0.003  0.000
Ca  0.000  0.278  0.781
Ca  0.000  0.722  0.281
Ca  0.000  0.997  0.500
Ca  0.500  0.222  0.281
Ca  0.500  0.497  0.500
Ca  0.500  0.503  0.000
Ca  0.500  0.778  0.781
P  0.000  0.385  0.242
P  0.000  0.615  0.742
P  0.500  0.115  0.742
P  0.500  0.885  0.242

---

Entry 28:
CaP3Pb | PBEsol | optimized geometry

Results
D(E_F) = 5.99 states/eV/cell
Spin magnetization = 0.00 μB/cell
Energy relative to the elements = 0.6708 eV per atom
VASP energy = -4.030 eV/atom

Cell: 5.123 5.123 5.123 Å, 90.00 90.00 90.00°
Element x y z (fractional)
Ca  0.000  0.000  0.000
P  0.000  0.500  0.500
P  0.500  0.000  0.500
P  0.500  0.500  0.000
Pb  0.500  0.500  0.500